No. 1
VASP calculation (GGA-PBE) on a geometry-optimized ScTlCl structure.

Computed properties:
The calculation puts the energy relative to the lowest polymorph listed for this composition at 273 meV/atom.

Cell lengths 4.414, 4.414, 4.446 Å; angles 90.00, 90.00, 120.00 degrees
Fractional coordinates of all 3 atoms:
Cl 0.000 0.000 0.166
Sc 0.667 0.333 0.167
Tl 0.333 0.667 0.667

***

No. 2
VASP calculation (GGA-PBE) on a geometry-optimized Sc4TlCl structure.

Computed properties:
The calculation puts the final energy at -28.5 eV/cell.

Cell lengths 5.967, 5.967, 5.967 Å; angles 60.00, 60.00, 60.00 degrees
Fractional coordinates of all 6 atoms:
Sc 0.867 0.378 0.378
Sc 0.378 0.378 0.867
Sc 0.378 0.867 0.378
Sc 0.378 0.378 0.378
Tl 0.750 0.750 0.750
Cl 0.000 0.000 0.000

***

No. 3
VASP calculation (GGA-PBE) on a geometry-optimized Sc2TlCl2 structure.

Computed properties:
The calculation puts the final energy at -22.9 eV/cell.

Cell lengths 6.119, 6.119, 6.119 Å; angles 134.65, 134.65, 66.07 degrees
Fractional coordinates of all 5 atoms:
Sc 0.250 0.750 0.500
Sc 0.750 0.250 0.500
Tl 0.000 0.000 0.000
Cl 0.653 0.653 0.000
Cl 0.347 0.347 0.000

***

No. 4
VASP calculation (GGA-PBE) on a geometry-optimized ScTlCl structure.

Computed properties:
The calculation puts the energy relative to the lowest polymorph listed for this composition at 135 meV/atom.

Cell lengths 8.504, 8.155, 3.473 Å; angles 83.68, 72.37, 23.95 degrees
Fractional coordinates of all 3 atoms:
Cl 0.960 0.960 0.040
Sc 0.348 0.348 0.652
Tl 0.692 0.692 0.308